Record 1
PBE SrNb4S8, optimized geometry; raw formation energy = -14.0 eV per formula unit; magnetization = 0.00 μB per atom
1.0
-1.693 6.976 -1.770
-6.881 2.506 1.015
-1.389 4.933 5.329
S Nb Sr
8 4 1
Cartesian
-2.085 5.320 -0.339
-5.999 8.680 2.754
-3.188 7.656 2.339
-1.930 4.280 3.273
-4.725 3.045 1.078
-5.432 6.664 0.577
-1.223 1.770 0.561
-5.308 5.829 3.477
-7.503 6.577 2.213
-4.523 9.144 0.614
-3.551 5.138 1.630
-4.349 7.971 4.690
-7.472 10.811 3.430

---

Record 2
PBE Te2AsH2, optimized geometry; DFT total energy = -14.613 eV/cell; magnetization = 0.00 μB per atom
1.0
-2.272 -1.982 -2.134
1.717 -3.097 1.049
-4.154 -3.112 4.115
Te H As
2 2 1
Cartesian
-3.370 -5.495 2.297
-1.339 -2.696 0.733
-3.351 -3.817 0.719
-1.357 -4.374 2.311
0.000 0.000 0.000

---

Record 3
PBE AlAgSn, optimized geometry; magnetization = 0.00 μB per atom; energy relative to the elements = 0.110 eV/atom
1.0
3.210 0.000 0.000
0.000 3.210 0.000
-1.605 -1.605 6.044
Sn Al Ag
1 1 1
Cartesian
0.000 0.000 0.032
1.605 1.605 2.193
0.000 0.000 3.820